[1]
Below is a relaxed structure of Ac2CeUO8, with properties calculated at the PBE level.

```
Ac2CeUO8
1.0
4.054 0.000 0.000
0.000 7.837 0.000
-0.477 0.000 5.753
Ac Ce U O
2 1 1 8
Direct
0.000 0.248 0.000
0.000 0.752 0.000
0.500 0.500 0.500
0.500 0.000 0.500
0.047 0.500 0.268
0.061 0.000 0.287
0.462 0.227 0.721
0.462 0.773 0.721
0.538 0.227 0.279
0.538 0.773 0.279
0.939 0.000 0.713
0.953 0.500 0.732
```

Results
E_form (uncorrected), eV/atom: -3.35
Total moment, μB/cell: 0.0
Uncorrected energy, eV/atom: -8.78
N(E_F), states/eV/atom: 0.000

[2]
Below is a relaxed structure of BaNb2TcN, with properties calculated at the PBE level.

```
BaNb2TcN
1.0
4.681 0.000 0.000
0.000 4.681 0.000
0.000 0.000 6.557
Ba Nb Tc N
1 2 1 1
Direct
0.000 0.000 0.000
0.000 0.500 0.500
0.500 0.000 0.500
0.000 0.000 0.500
0.500 0.500 0.000
```

Results
E_form (uncorrected), eV/atom: 1.75
Total moment, μB/cell: 0.0
Uncorrected energy, eV/atom: -6.40
N(E_F), states/eV/atom: 1.111

[3]
Below is a relaxed structure of Ta6Nb12Ru, with properties calculated at the PBE level.

```
Ta6Nb12Ru
1.0
4.958 2.863 4.188
-4.958 2.863 4.188
0.000 -5.725 4.188
Ta Nb Ru
6 12 1
Direct
0.233 0.757 0.386
0.243 0.614 0.767
0.386 0.233 0.757
0.614 0.767 0.243
0.757 0.386 0.233
0.767 0.243 0.614
0.020 0.312 0.922
0.078 0.980 0.688
0.119 0.355 0.438
0.312 0.922 0.020
0.355 0.438 0.119
0.438 0.119 0.355
0.562 0.881 0.645
0.645 0.562 0.881
0.688 0.078 0.980
0.881 0.645 0.562
0.922 0.020 0.312
0.980 0.688 0.078
0.500 0.500 0.500
```

Results
Total moment, μB/cell: 0.0
Uncorrected energy, eV/atom: -10.49
N(E_F), states/eV/atom: 0.928